DFT (PBE with a Hubbard U) results for an optimized crystal structure of VRhNO2.

Unit cell a=4.0742 b=4.0742 c=3.6327 alpha=90.00 beta=90.00 gamma=90.00
With the nearest neighbours (Å) after each atom.
Sites, in units of the cell vectors:
V (0.0000, 0.0000, 0.0000)  8 O 2.73, 4 N 2.88
Rh (0.5000, 0.5000, 0.5000)  2 N 1.82
N (0.5000, 0.5000, 0.0000)  2 Rh 1.82
O (0.0000, 0.5000, 0.5000)  2 Rh 2.04
O (0.5000, 0.0000, 0.5000)  2 Rh 2.04

Output
Calculated total energy, eV per atom: -6.286